Record 1
This record from Alexandria via LeMat-Bulk describes Hf4HPb2 after structural relaxation. The functional is PBE.

Lattice parameters (Å, degrees): 4.352 4.352 8.168 105.45 105.45 90.00
Element x y z (fractional)
Pb 0.650 0.650 0.299
Hf 0.154 0.154 0.309
Hf 0.000 0.500 0.000
H 0.000 0.000 0.000
Pb 0.350 0.350 0.701
Hf 0.500 0.000 0.000
Hf 0.846 0.846 0.691

Computed properties:
Space group: No. 139
Relative energy among the computed polymorphs (eV per atom): 0.019
Spin magnetization (μB per cell): 0.00
N(E_F) (states/eV/f.u.): 3.40
Theoretical density (g/cm3): 13.09

Record 2
This record from Alexandria via LeMat-Bulk describes Pm3Nd5Co2 after structural relaxation. The functional is PBE.

Lattice parameters (Å, degrees): 7.877 10.012 10.012 63.27 66.84 66.84
Element x y z (fractional)
Nd 0.115 0.629 0.142
Co 0.870 0.129 0.131
Pm 0.750 0.000 0.000
Pm 0.633 0.609 0.125
Nd 0.503 0.747 0.747
Pm 0.133 0.125 0.609
Pm 0.250 0.000 0.000
Nd 0.750 0.500 0.500
Co 0.130 0.871 0.869
Nd 0.385 0.858 0.371
Pm 0.867 0.875 0.391
Nd 0.997 0.253 0.253
Nd 0.497 0.253 0.253
Co 0.370 0.131 0.129
Nd 0.885 0.371 0.858
Nd 0.615 0.142 0.629
Nd 0.003 0.747 0.747
Pm 0.367 0.391 0.875
Co 0.630 0.869 0.871
Nd 0.250 0.500 0.500

Computed properties:
Space group: No. 72
Calculated formation energy (meV per atom): 23
Spin magnetization (μB per cell): 0.00
N(E_F) (states/eV/f.u.): 12.61
Theoretical density (g/cm3): 6.77

Record 3
This record from Alexandria via LeMat-Bulk describes BiSb2Pd7 after structural relaxation. The functional is PBE.

Lattice parameters (Å, degrees): 4.435 7.610 7.610 121.16 90.00 90.00
Element x y z (fractional)
Pd 0.500 0.292 0.073
Pd 0.500 0.500 0.500
Sb 0.500 0.695 0.305
Sb 0.500 0.305 0.695
Pd 0.500 0.708 0.927
Pd 0.000 0.793 0.207
Pd 0.000 0.207 0.793
Pd 0.500 0.073 0.292
Pd 0.500 0.927 0.708
Bi 0.000 0.000 0.000

Computed properties:
Space group: No. 65
Relative energy among the computed polymorphs (eV per atom): 0.241
Energy relative to the elements, uncorrected (eV per atom): -0.09
Spin magnetization (μB per cell): 0.00
N(E_F) (states/eV/f.u.): 5.54
Theoretical density (g/cm3): 9.05